A geometry-optimized Ba3As14 structure, computed with GGA-PBEsol.

Summary:
Raw total energy: -5.01 eV/atom
Total moment: 0.00 Bohr magnetons per cell
Density: 5.32 g cm⁻³

Cell: 6.814 13.610 11.935 Å, 90.00 124.55 90.00°
Fractional coordinates of all 34 atoms:
Ba  0.000  0.000  0.000
Ba  0.000  0.500  0.500
Ba  0.441  0.157  0.634
Ba  0.441  0.343  0.134
Ba  0.559  0.657  0.866
Ba  0.559  0.843  0.366
As  0.001  0.221  0.873
As  0.001  0.279  0.373
As  0.067  0.006  0.685
As  0.067  0.494  0.185
As  0.104  0.221  0.220
As  0.104  0.279  0.720
As  0.232  0.640  0.135
As  0.232  0.860  0.635
As  0.276  0.062  0.329
As  0.276  0.438  0.829
As  0.302  0.691  0.481
As  0.302  0.809  0.981
As  0.428  0.577  0.378
As  0.428  0.923  0.878
As  0.572  0.077  0.122
As  0.572  0.423  0.622
As  0.698  0.191  0.019
As  0.698  0.309  0.519
As  0.724  0.562  0.171
As  0.724  0.938  0.671
As  0.768  0.140  0.365
As  0.768  0.360  0.865
As  0.896  0.721  0.280
As  0.896  0.779  0.780
As  0.933  0.506  0.815
As  0.933  0.994  0.315
As  0.999  0.721  0.627
As  0.999  0.779  0.127